6
Lattice="3.948 -0.028 -0.061 -1.378 2.998 0.049 1.279 0.551 8.858" Properties=species:S:1:pos:R:3 comment="CuBPb (PBE, relaxed)" spacegroup="P-1, No. 2" e_form_ev_per_atom=0.246 m_tot_mub_per_cell=0.00 pbc="T T T"
B 0.075 2.487 0.504
B 0.765 0.978 0.508
Pb 2.657 0.926 6.385
Cu 2.753 0.961 1.446
Pb -0.541 3.085 3.485
Cu 3.314 3.030 8.362